(1)
Below is a geometry-optimized CoSnF2 structure, with properties calculated at the PBE with a Hubbard U level.

Values from the calculation:
* distance to the lowest polymorph of the same formula: 0.0 meV/atom
* N(E_F): 0.72 states/eV/atom

a b c (Å): 3.2596 3.2596 21.3443
angles (deg): 90.00 90.00 120.00
Space group R-3m (No. 166, hexagonal axes)
Symmetry-distinct sites (fractional):
Co1 0.0000 0.0000 0.0000 [3 per cell]
Sn1 0.0000 0.0000 0.5000 [3 per cell]
F1 0.0000 0.0000 0.3852 [6 per cell]

***

(2)
Below is a geometry-optimized Co2SnF structure, with properties calculated at the PBE with a Hubbard U level.

Values from the calculation:
* distance to the lowest polymorph of the same formula: 84.3 meV/atom
* N(E_F): 0.82 states/eV/atom

a b c (Å): 6.3534 6.3534 6.3534
angles (deg): 90.00 90.00 90.00
Space group Fm-3m (No. 225)
Symmetry-distinct sites (fractional):
Co1 0.2500 0.2500 0.2500 [8 per cell]
Sn1 0.0000 0.0000 0.0000 [4 per cell]
F1 0.0000 0.0000 0.5000 [4 per cell]

***

(3)
Below is a geometry-optimized VCoSnF6 structure, with properties calculated at the PBE with a Hubbard U level.

Values from the calculation:
* final energy: -97.7 eV per cell

a b c (Å): 5.5223 5.5223 10.2135
angles (deg): 90.00 90.00 120.00
Space group P-31c (No. 163)
Symmetry-distinct sites (fractional):
V1 0.3333 0.6667 0.2500 [2 per cell]
Co1 0.3333 0.6667 0.7500 [2 per cell]
Sn1 0.0000 0.0000 0.0000 [2 per cell]
F1 0.0079 0.3597 0.6414 [12 per cell]

***

(4)
Below is a geometry-optimized Co2SnWF structure, with properties calculated at the PBE with a Hubbard U level.

Values from the calculation:
* final energy: -19.0 eV per cell
* N(E_F): 0.52 states/eV/atom

a b c (Å): 4.8011 4.8011 4.1797
angles (deg): 90.00 90.00 90.00
Space group P4/mmm (No. 123)
Symmetry-distinct sites (fractional):
Co1 0.0000 0.5000 0.0000 [2 per cell]
Sn1 0.0000 0.0000 0.0000 [1 per cell]
W1 0.5000 0.5000 0.5000 [1 per cell]
F1 0.0000 0.0000 0.5000 [1 per cell]

***

(5)
Below is a geometry-optimized Sr3CoF structure, with properties calculated at the PBE with a Hubbard U level.

Values from the calculation:
* distance to the lowest polymorph of the same formula: 0.0 meV/atom
* N(E_F): 0.50 states/eV/atom

a b c (Å): 5.3390 5.3390 5.3390
angles (deg): 90.00 90.00 90.00
Space group Pm-3m (No. 221)
Symmetry-distinct sites (fractional):
Sr1 0.0000 0.0000 0.5000 [3 per cell]
Co1 0.5000 0.5000 0.5000 [1 per cell]
F1 0.0000 0.0000 0.0000 [1 per cell]

***

(6)
Below is a geometry-optimized SrCoF3 structure, with properties calculated at the PBE with a Hubbard U level.

Values from the calculation:
* distance to the lowest polymorph of the same formula: 308.2 meV/atom
* N(E_F): 0.03 states/eV/atom

a b c (Å): 4.7055 4.7055 4.7055
angles (deg): 90.00 90.00 90.00
Space group Pm-3m (No. 221)
Symmetry-distinct sites (fractional):
Sr1 0.0000 0.0000 0.0000 [1 per cell]
Co1 0.5000 0.5000 0.5000 [1 per cell]
F1 0.0000 0.0000 0.5000 [3 per cell]

***

(7)
Below is a geometry-optimized SrCo2F structure, with properties calculated at the PBE with a Hubbard U level.

Values from the calculation:
* distance to the lowest polymorph of the same formula: 773.3 meV/atom
* N(E_F): 0.62 states/eV/atom

a b c (Å): 7.2163 7.2163 7.2163
angles (deg): 90.00 90.00 90.00
Space group Fm-3m (No. 225)
Symmetry-distinct sites (fractional):
Sr1 0.0000 0.0000 0.0000 [4 per cell]
Co1 0.2500 0.2500 0.2500 [8 per cell]
F1 0.0000 0.0000 0.5000 [4 per cell]

***

(8)
Below is a geometry-optimized SrCo3F structure, with properties calculated at the PBE with a Hubbard U level.

Values from the calculation:
* distance to the lowest polymorph of the same formula: 0.0 meV/atom
* N(E_F): 0.63 states/eV/atom

a b c (Å): 4.5054 4.5054 4.5054
angles (deg): 90.00 90.00 90.00
Space group Pm-3m (No. 221)
Symmetry-distinct sites (fractional):
Sr1 0.0000 0.0000 0.0000 [1 per cell]
Co1 0.0000 0.5000 0.5000 [3 per cell]
F1 0.5000 0.5000 0.5000 [1 per cell]